The following is a PBE calculation of a geometry-optimized BiBBr2 structure, from Alexandria.

Results
final energy = -2.689 eV per atom
energy relative to the elements, uncorrected = 787 meV per atom
total magnetic moment = 0.00 μB per cell
energy relative to the lowest polymorph listed for this composition = 5.962 kcal/mol of atoms
SG = I-42d, No. 122

Cell and atoms, written as POSCAR:
```
BiBBr2
1.0
6.969 0.000 0.000
0.000 6.969 0.000
3.485 3.485 4.925
Br Bi B
4 2 2
Direct
0.875 0.626 0.750
0.376 0.125 0.250
0.374 0.625 0.250
0.375 0.624 0.750
0.000 0.000 0.000
0.750 0.250 0.500
0.250 0.750 0.500
0.500 0.500 0.000
```